(1)
Here is a geometry-optimized Nd2Dy8Er3 structure from Alexandria. Energies are from GGA-PBE.

Output
Relative energy among the computed polymorphs in eV per atom: 0.000
D(E_F) in states/eV/f.u.: 17.19
DFT formation energy in eV per atom: 0.0703
ρ in g/cm3: 8.2
Total moment in μB per cell: 0.0

Unit cell a=3.555 b=12.208 c=19.415 alpha=90.00 beta=90.02 gamma=90.00
Element x y z (fractional)
1 Nd 0.001 0.167 0.370
2 Nd 0.001 0.333 0.870
3 Nd 0.999 0.667 0.130
4 Nd 0.999 0.833 0.630
5 Dy 0.000 0.017 0.917
6 Dy 0.000 0.483 0.417
7 Dy 0.000 0.517 0.583
8 Dy 0.000 0.983 0.083
9 Dy 0.001 0.122 0.637
10 Dy 0.001 0.378 0.137
11 Dy 0.499 0.650 0.299
12 Dy 0.499 0.850 0.799
13 Dy 0.500 0.210 0.019
14 Dy 0.500 0.290 0.519
15 Dy 0.500 0.710 0.481
16 Dy 0.500 0.790 0.981
17 Dy 0.501 0.150 0.201
18 Dy 0.501 0.350 0.701
19 Dy 0.999 0.622 0.863
20 Dy 0.999 0.878 0.363
21 Er 0.500 0.000 0.500
22 Er 0.500 0.123 0.787
23 Er 0.500 0.377 0.287
24 Er 0.500 0.500 0.000
25 Er 0.500 0.623 0.713
26 Er 0.500 0.877 0.213

(2)
Here is a geometry-optimized Sr3RhF12 structure from Alexandria. Energies are from GGA-PBE.

Output
Relative energy among the computed polymorphs in eV per atom: 0.022
D(E_F) in states/eV/f.u.: 9.34
ρ in g/cm3: 4.1
Total moment in μB per cell: 1.1
ΔE_f (raw) in eV per atom: -2.499

Unit cell a=8.043 b=8.043 c=4.930 alpha=102.48 beta=102.48 gamma=122.75
Element x y z (fractional)
1 Sr 0.000 0.000 0.000
2 Sr 0.000 0.500 0.500
3 Sr 0.500 0.000 0.500
4 Rh 0.500 0.500 0.500
5 F 0.113 0.741 0.200
6 F 0.194 0.352 0.492
7 F 0.259 0.887 0.800
8 F 0.308 0.477 0.141
9 F 0.352 0.194 0.492
10 F 0.477 0.308 0.141
11 F 0.523 0.692 0.859
12 F 0.648 0.806 0.508
13 F 0.692 0.523 0.859
14 F 0.741 0.113 0.200
15 F 0.806 0.648 0.508
16 F 0.887 0.259 0.800

(3)
Here is a geometry-optimized MgRh2Se structure from Alexandria. Energies are from GGA-PBE.

Output
D(E_F) in states/eV/f.u.: 3.41
ρ in g/cm3: 8.2
Total moment in μB per cell: 0.0
ΔE_f (raw) in eV per atom: -0.239

Unit cell a=4.517 b=4.517 c=4.912 alpha=100.37 beta=100.37 gamma=39.44
Element x y z (fractional)
1 Mg 0.000 0.000 0.000
2 Rh 0.246 0.246 0.739
3 Rh 0.754 0.754 0.261
4 Se 0.500 0.500 0.500

(4)
Here is a geometry-optimized TlIn2Pb6 structure from Alexandria. Energies are from GGA-PBE.

Output
Relative energy among the computed polymorphs in eV per atom: 0.000
D(E_F) in states/eV/f.u.: 4.10
DFT formation energy in eV per atom: 0.0441
ρ in g/cm3: 9.9
Total moment in μB per cell: 0.0

Unit cell a=9.623 b=9.623 c=6.436 alpha=99.75 beta=99.75 gamma=102.29
Element x y z (fractional)
1 Tl 0.076 0.924 0.750
2 Tl 0.924 0.076 0.250
3 In 0.366 0.373 0.638
4 In 0.373 0.366 0.138
5 In 0.627 0.634 0.862
6 In 0.634 0.627 0.362
7 Pb 0.032 0.274 0.790
8 Pb 0.094 0.433 0.325
9 Pb 0.249 0.644 0.974
10 Pb 0.274 0.032 0.290
11 Pb 0.356 0.751 0.526
12 Pb 0.433 0.094 0.825
13 Pb 0.567 0.906 0.175
14 Pb 0.644 0.249 0.474
15 Pb 0.726 0.968 0.710
16 Pb 0.751 0.356 0.026
17 Pb 0.906 0.567 0.675
18 Pb 0.968 0.726 0.210

(5)
Here is a geometry-optimized Na2HoThS4 structure from Alexandria. Energies are from GGA-PBE.

Output
D(E_F) in states/eV/f.u.: 3.88
ρ in g/cm3: 5.1
Total moment in μB per cell: 0.0
ΔE_f (raw) in eV per atom: -1.724

Unit cell a=6.944 b=3.984 c=7.142 alpha=90.00 beta=108.63 gamma=90.00
Element x y z (fractional)
1 Na 0.000 0.000 0.000
2 Na 0.500 0.500 0.000
3 Ho 0.000 0.500 0.500
4 Th 0.500 0.000 0.500
5 S 0.239 0.000 0.730
6 S 0.246 0.500 0.262
7 S 0.754 0.500 0.738
8 S 0.761 0.000 0.270

(6)
Here is a geometry-optimized NbBSbI2 structure from Alexandria. Energies are from GGA-PBE.

Output
Relative energy among the computed polymorphs in eV per atom: 0.000
D(E_F) in states/eV/f.u.: 2.72
ρ in g/cm3: 6.7
Total moment in μB per cell: 2.5
ΔE_f (raw) in eV per atom: 1.195

Unit cell a=4.937 b=4.937 c=4.902 alpha=90.00 beta=90.00 gamma=90.00
Element x y z (fractional)
1 Nb 0.000 0.000 0.000
2 B 0.500 0.500 0.500
3 Sb 0.500 0.500 0.000
4 I 0.000 0.500 0.500
5 I 0.500 0.000 0.500

(7)
Here is a geometry-optimized TcBiI2Cl structure from Alexandria. Energies are from GGA-PBE.

Output
D(E_F) in states/eV/f.u.: 4.83
ρ in g/cm3: 5.2
Total moment in μB per cell: 4.7
ΔE_f (raw) in eV per atom: 1.268

Unit cell a=5.936 b=5.936 c=5.361 alpha=90.00 beta=90.00 gamma=90.00
Element x y z (fractional)
1 Tc 0.000 0.000 0.000
2 Bi 0.500 0.500 0.000
3 I 0.000 0.500 0.500
4 I 0.500 0.000 0.500
5 Cl 0.500 0.500 0.500

(8)
Here is a geometry-optimized BaZrCu structure from Alexandria. Energies are from GGA-PBE.

Output
Relative energy among the computed polymorphs in eV per atom: 0.220
D(E_F) in states/eV/f.u.: 3.93
DFT formation energy in eV per atom: 0.4878
ρ in g/cm3: 5.7
Total moment in μB per cell: 0.4

Unit cell a=3.644 b=3.644 c=7.356 alpha=90.00 beta=90.00 gamma=120.00
Element x y z (fractional)
1 Ba 0.000 0.000 0.000
2 Zr 0.333 0.667 0.570
3 Cu 0.667 0.333 0.346

(9)
Here is a geometry-optimized LaPr5N4 structure from Alexandria. Energies are from GGA-PBE.

Output
D(E_F) in states/eV/f.u.: 5.22
ρ in g/cm3: 6.8
Total moment in μB per cell: 0.0
ΔE_f (raw) in eV per atom: -1.021

Unit cell a=8.287 b=8.287 c=7.613 alpha=102.56 beta=102.56 gamma=25.61
Element x y z (fractional)
1 La 0.000 0.000 0.000
2 Pr 0.000 0.000 0.500
3 Pr 0.335 0.335 0.149
4 Pr 0.341 0.341 0.696
5 Pr 0.659 0.659 0.304
6 Pr 0.665 0.665 0.851
7 N 0.168 0.168 0.084
8 N 0.497 0.497 0.744
9 N 0.503 0.503 0.256
10 N 0.832 0.832 0.916

(10)
Here is a geometry-optimized V5P2H2 structure from Alexandria. Energies are from GGA-PBE.

Output
Calculated total energy in eV per atom: -7.541
D(E_F) in states/eV/f.u.: 6.63
ρ in g/cm3: 5.5
Total moment in μB per cell: 0.0

Unit cell a=5.008 b=5.008 c=6.647 alpha=108.68 beta=108.68 gamma=37.62
Element x y z (fractional)
1 V 0.000 0.000 0.000
2 V 0.129 0.129 0.449
3 V 0.341 0.341 0.175
4 V 0.659 0.659 0.825
5 V 0.871 0.871 0.551
6 P 0.337 0.337 0.788
7 P 0.663 0.663 0.212
8 H 0.068 0.068 0.681
9 H 0.932 0.932 0.319

(11)
Here is a geometry-optimized Na3Nd3TcO8 structure from Alexandria. Energies are from GGA-PBE.

Output
ρ in g/cm3: 5.1
Total moment in μB per cell: 3.0
ΔE_f (raw) in eV per atom: -2.348

Unit cell a=6.880 b=6.880 c=6.880 alpha=60.89 beta=60.89 gamma=60.89
Element x y z (fractional)
1 Na 0.000 0.500 0.500
2 Na 0.500 0.000 0.500
3 Na 0.500 0.500 0.000
4 Nd 0.000 0.000 0.500
5 Nd 0.000 0.500 0.000
6 Nd 0.500 0.000 0.000
7 Tc 0.500 0.500 0.500
8 O 0.239 0.239 0.239
9 O 0.272 0.714 0.714
10 O 0.286 0.286 0.728
11 O 0.286 0.728 0.286
12 O 0.714 0.272 0.714
13 O 0.714 0.714 0.272
14 O 0.728 0.286 0.286
15 O 0.761 0.761 0.761

(12)
Here is a geometry-optimized LaAuCl structure from Alexandria. Energies are from GGA-PBE.

Output
Relative energy among the computed polymorphs in eV per atom: 0.459
D(E_F) in states/eV/f.u.: 2.70
ρ in g/cm3: 7.6
Total moment in μB per cell: 0.6
ΔE_f (raw) in eV per atom: -0.943

Unit cell a=4.851 b=4.851 c=4.851 alpha=60.00 beta=60.00 gamma=60.00
Element x y z (fractional)
1 La 0.000 0.000 0.000
2 Au 0.500 0.500 0.500
3 Cl 0.750 0.750 0.750